A relaxed structure of Sm3Zn4Ag4, computed with PBE.

Output
formation enthalpy at 0 K: -0.267 eV per atom
raw total energy: -33.59 eV per formula unit

Cell and atoms, written as extended XYZ:
```
11
Lattice="3.695 0.000 0.000 0.001 4.553 0.000 1.831 2.265 14.022" Properties=species:S:1:pos:R:3 pbc="T T T"
Sm 0.000 0.000 0.000
Sm 1.836 4.543 10.025
Sm 3.690 2.274 3.997
Zn 1.843 4.551 5.288
Zn 1.847 2.278 1.282
Zn 3.679 4.540 12.740
Zn 3.684 2.267 8.734
Ag 1.838 2.272 6.757
Ag 1.845 4.554 2.642
Ag 3.682 2.264 11.380
Ag 3.688 4.546 7.265
```